A plane-wave DFT calculation with PBE+U was carried out for PmMn2AlO6 after structural relaxation.

Calculated values
calculated total energy	-7.392	eV/atom

The structure in POSCAR format:
```
PmMn2AlO6
1.0
-1.2194 0.8904 5.0020
3.1633 -1.6383 3.8079
2.9100 3.7176 2.7914
Pm Mn Al O
1 2 1 6
direct
0.7862 0.7913 0.6343
0.5213 0.5230 0.4391
0.0087 0.0104 0.9710
0.3199 0.3174 0.0451
0.6051 0.2528 0.2208
0.2556 0.9175 0.2217
0.9198 0.6037 0.2196
0.3450 0.7216 0.7538
0.7203 0.1789 0.7554
0.1797 0.3450 0.7545
```